(1)
A geometry-optimized ScNi6Sb structure. Source: Alexandria, functional GGA-PBEsol.

## Properties
magnetic moment: 0.00 μB per formula unit
ΔE_f (raw): -243 kJ/mol of formula units
space-group type: No. 65
uncorrected energy: -6.33 eV per atom
crystal system: orthorhombic

```
ScNi6Sb
1.0
3.665 -5.174 0.000
3.665 5.174 0.000
0.000 0.000 10.341
Sc Ni Sb
4 24 4
Direct
0.000 0.000 0.246
0.000 0.000 0.754
0.247 0.753 0.000
0.753 0.247 0.000
0.000 0.000 0.000
0.000 0.000 0.500
0.124 0.376 0.125
0.124 0.376 0.875
0.129 0.376 0.376
0.129 0.376 0.624
0.248 0.752 0.252
0.248 0.752 0.748
0.376 0.124 0.125
0.376 0.124 0.875
0.376 0.129 0.376
0.376 0.129 0.624
0.500 0.500 0.000
0.500 0.500 0.500
0.624 0.871 0.376
0.624 0.871 0.624
0.624 0.876 0.125
0.624 0.876 0.875
0.752 0.248 0.252
0.752 0.248 0.748
0.871 0.624 0.376
0.871 0.624 0.624
0.876 0.624 0.125
0.876 0.624 0.875
0.245 0.755 0.500
0.500 0.500 0.245
0.500 0.500 0.755
0.755 0.245 0.500
```



(2)
A geometry-optimized Zr2ScBr structure. Source: Alexandria, functional GGA-PBEsol.

## Properties
magnetic moment: 0.00 μB per formula unit
ΔE_f (raw): 26 kJ/mol of formula units
space-group type: No. 123
uncorrected energy: -6.60 eV per atom
crystal system: tetragonal

```
Zr2ScBr
1.0
4.076 0.000 0.000
0.000 4.076 0.000
0.000 0.000 5.097
Zr Sc Br
2 1 1
Direct
0.000 0.500 0.000
0.500 0.000 0.000
0.000 0.000 0.500
0.500 0.500 0.500
```



(3)
A geometry-optimized As2PbSeF structure. Source: Alexandria, functional GGA-PBEsol.

## Properties
magnetic moment: 1.08 μB per formula unit
ΔE_f (raw): 454 kJ/mol of formula units
space-group type: No. 123
uncorrected energy: -3.06 eV per atom
crystal system: tetragonal

```
As2PbSeF
1.0
5.397 0.000 0.000
0.000 5.397 0.000
0.000 0.000 5.301
As Pb Se F
2 1 1 1
Direct
0.000 0.500 0.000
0.500 0.000 0.000
0.000 0.000 0.000
0.000 0.000 0.500
0.500 0.500 0.500
```



(4)
A geometry-optimized AsIr2Cl structure. Source: Alexandria, functional GGA-PBEsol.

## Properties
magnetic moment: 0.00 μB per formula unit
ΔE_f (raw): 142 kJ/mol of formula units
polymorph energy (0 for the lowest one): 0 meV/atom
space-group type: No. 25
uncorrected energy: -6.32 eV per atom
crystal system: orthorhombic

```
AsIr2Cl
1.0
2.771 0.000 0.000
0.000 3.293 0.000
0.000 0.000 7.488
As Ir Cl
1 2 1
Direct
0.000 0.000 0.000
0.000 0.000 0.588
0.500 0.500 0.804
0.500 0.500 0.371
```



(5)
A geometry-optimized LiCuPO4 structure. Source: Alexandria, functional GGA-PBEsol.

## Properties
magnetic moment: 1.02 μB per formula unit
ΔE_f (raw): -1209 kJ/mol of formula units
polymorph energy (0 for the lowest one): 18 meV/atom
space-group type: No. 14
uncorrected energy: -6.52 eV per atom
crystal system: monoclinic

```
LiCuPO4
1.0
5.033 0.000 0.000
0.000 9.310 0.000
-4.919 0.000 6.794
Li Cu P O
4 4 4 16
Direct
0.218 0.185 0.031
0.218 0.315 0.531
0.782 0.685 0.469
0.782 0.815 0.969
0.248 0.614 0.977
0.248 0.886 0.477
0.752 0.114 0.523
0.752 0.386 0.023
0.085 0.592 0.263
0.085 0.908 0.763
0.915 0.092 0.237
0.915 0.408 0.737
0.067 0.068 0.805
0.067 0.432 0.305
0.116 0.686 0.423
0.116 0.814 0.923
0.246 0.112 0.449
0.246 0.388 0.949
0.370 0.625 0.246
0.370 0.875 0.746
0.630 0.125 0.254
0.630 0.375 0.754
0.754 0.612 0.051
0.754 0.888 0.551
0.884 0.186 0.077
0.884 0.314 0.577
0.933 0.568 0.695
0.933 0.932 0.195
```



(6)
A geometry-optimized GaAu2NF structure. Source: Alexandria, functional GGA-PBEsol.

## Properties
magnetic moment: 0.00 μB per formula unit
ΔE_f (raw): 104 kJ/mol of formula units
space-group type: No. 123
uncorrected energy: -4.11 eV per atom
crystal system: tetragonal

```
GaAu2NF
1.0
3.988 0.000 0.000
0.000 3.988 0.000
0.000 0.000 5.613
Ga Au N F
1 2 1 1
Direct
0.000 0.000 0.000
0.000 0.500 0.500
0.500 0.000 0.500
0.500 0.500 0.500
0.500 0.500 0.000
```



(7)
A geometry-optimized BaCaNi2Ir structure. Source: Alexandria, functional GGA-PBEsol.

## Properties
magnetic moment: 0.21 μB per formula unit
formation energy from the elements: 24.77 kcal/mol of atoms
space-group type: No. 123
uncorrected energy: -4.21 eV per atom
crystal system: tetragonal

```
BaCaNi2Ir
1.0
4.763 0.000 0.000
0.000 4.763 0.000
0.000 0.000 5.057
Ba Ca Ni Ir
1 1 2 1
Direct
0.000 0.000 0.000
0.500 0.500 0.500
0.000 0.500 0.500
0.500 0.000 0.500
0.500 0.500 0.000
```



(8)
A geometry-optimized CaRePt3 structure. Source: Alexandria, functional GGA-PBEsol.

## Properties
magnetic moment: 4.28 μB per formula unit
formation energy from the elements: 49.06 kcal/mol of atoms
space-group type: No. 221
uncorrected energy: -5.14 eV per atom
crystal system: cubic

```
CaRePt3
1.0
4.717 0.000 0.000
0.000 4.717 0.000
0.000 0.000 4.717
Ca Re Pt
1 1 3
Direct
0.000 0.000 0.000
0.500 0.500 0.500
0.000 0.000 0.500
0.000 0.500 0.000
0.500 0.000 0.000
```